# 1
Computed, not measured: a relaxed HfAuF2 crystal at the PBE-GGA level of DFT.

extended XYZ file:
```
4
Lattice="-0.997 -3.306 2.585 -2.890 0.527 3.158 -3.875 -1.871 -0.289" Properties=species:S:1:pos:R:3 pbc="T T T"
Hf 0.000 0.000 0.000
Au -3.881 -2.325 2.727
F -1.941 -1.163 1.363
F -5.822 -3.488 4.090
```

Values from the calculation:
Offset from the most stable computed form ... 65.0 kJ/mol of atoms
Fermi-level density of states ... 0.558 states/eV per atom
Spin magnetization ... 0.0000 μB per atom
Uncorrected formation energy ... -1164 meV per atom
Theoretical density ... 12100 kg/m3


# 2
Computed, not measured: a relaxed Hf2AuF2 crystal at the PBE-GGA level of DFT.

extended XYZ file:
```
10
Lattice="-7.034 2.829 -1.460 -2.410 -2.416 6.926 0.762 2.478 1.129" Properties=species:S:1:pos:R:3 pbc="T T T"
Hf -3.146 0.133 5.372
Hf -6.683 1.528 4.698
Hf -5.535 2.759 1.223
Hf -1.998 1.364 1.897
Au 0.000 0.000 0.000
Au -4.722 0.207 2.733
F -4.950 -1.044 5.631
F -7.761 1.080 2.870
F -4.493 1.457 -0.165
F -1.683 -0.666 2.596
```

Values from the calculation:
Offset from the most stable computed form ... 7.4 kJ/mol of atoms
Fermi-level density of states ... 0.435 states/eV per atom
Spin magnetization ... 0.0000 μB per atom
Uncorrected formation energy ... -1242 meV per atom
Theoretical density ... 11661 kg/m3


# 3
Computed, not measured: a relaxed Hf2AuF2 crystal at the PBE-GGA level of DFT.

extended XYZ file:
```
5
Lattice="-2.510 3.399 -0.910 0.840 -0.507 -4.210 -4.192 -1.130 -2.920" Properties=species:S:1:pos:R:3 pbc="T T T"
Hf -3.769 1.858 -3.195
Hf -2.093 -0.095 -4.845
Au 0.000 0.000 0.000
F -1.821 0.689 -2.666
F -4.041 1.073 -5.374
```

Values from the calculation:
Offset from the most stable computed form ... 0.0 kJ/mol of atoms
Fermi-level density of states ... 0.919 states/eV per atom
Spin magnetization ... 0.0000 μB per atom
Uncorrected formation energy ... -1319 meV per atom
Theoretical density ... 12387 kg/m3


# 4
Computed, not measured: a relaxed HfAuF2 crystal at the PBE-GGA level of DFT.

extended XYZ file:
```
8
Lattice="4.332 0.000 0.000 0.000 4.332 0.000 2.166 2.166 7.113" Properties=species:S:1:pos:R:3 pbc="T T T"
Hf 2.166 2.166 0.000
Hf 2.166 4.332 3.557
Au 0.000 0.000 0.000
Au 4.332 2.166 3.557
F 2.451 1.083 1.778
F 1.881 3.249 1.778
F 3.249 4.047 5.335
F 5.415 4.617 5.335
```

Values from the calculation:
Offset from the most stable computed form ... 0.0 kJ/mol of atoms
Fermi-level density of states ... 0.354 states/eV per atom
Spin magnetization ... 0.0000 μB per atom
Uncorrected formation energy ... -1838 meV per atom
Theoretical density ... 10286 kg/m3


# 5
Computed, not measured: a relaxed HfAuF3 crystal at the PBE-GGA level of DFT.

extended XYZ file:
```
5
Lattice="-3.121 2.323 -2.186 -2.618 -3.613 -0.103 -1.824 1.211 3.889" Properties=species:S:1:pos:R:3 pbc="T T T"
Hf -3.781 -0.040 0.800
Au 0.000 0.000 0.000
F -1.309 -1.807 -0.051
F -0.912 0.605 1.945
F -1.560 1.162 -1.093
```

Values from the calculation:
Offset from the most stable computed form ... 183.0 kJ/mol of atoms
Fermi-level density of states ... 1.662 states/eV per atom
Spin magnetization ... 0.0000 μB per atom
Uncorrected formation energy ... -316 meV per atom
Theoretical density ... 8079 kg/m3


# 6
Computed, not measured: a relaxed HfNbAu2F crystal at the PBE-GGA level of DFT.

extended XYZ file:
```
5
Lattice="5.158 0.000 0.000 0.000 3.941 0.000 0.000 0.000 5.158" Properties=species:S:1:pos:R:3 pbc="T T T"
Hf 2.579 1.971 2.579
Nb 0.000 0.000 0.000
Au 0.000 0.000 2.579
Au 2.579 0.000 0.000
F 0.000 1.971 0.000
```

Values from the calculation:
Fermi-level density of states ... 0.879 states/eV per atom
Spin magnetization ... 0.0000 μB per atom
Uncorrected formation energy ... -131 meV per atom
Theoretical density ... 10837 kg/m3


# 7
Computed, not measured: a relaxed HfAuOF2 crystal at the PBE-GGA level of DFT.

extended XYZ file:
```
5
Lattice="4.264 0.000 0.000 0.000 4.264 0.000 0.000 0.000 4.034" Properties=species:S:1:pos:R:3 pbc="T T T"
Hf 0.000 0.000 0.000
Au 2.132 2.132 2.017
O 0.000 0.000 2.017
F 0.000 2.132 0.000
F 2.132 0.000 0.000
```

Values from the calculation:
Fermi-level density of states ... 0.674 states/eV per atom
Spin magnetization ... 0.0000 μB per atom
Uncorrected formation energy ... -2248 meV per atom
Theoretical density ... 9725 kg/m3


# 8
Computed, not measured: a relaxed HfPd2AuF crystal at the PBE-GGA level of DFT.

extended XYZ file:
```
5
Lattice="4.983 0.000 0.000 0.000 5.039 0.000 0.000 0.000 4.983" Properties=species:S:1:pos:R:3 pbc="T T T"
Hf 0.000 2.519 0.000
Au 0.000 0.000 0.000
Pd 0.000 0.000 2.491
Pd 2.491 0.000 0.000
F 2.491 2.519 2.491
```

Values from the calculation:
Fermi-level density of states ... 1.171 states/eV per atom
Spin magnetization ... 0.0000 μB per atom
Uncorrected formation energy ... 640 meV per atom
Theoretical density ... 8061 kg/m3


# 9
Computed, not measured: a relaxed Rb2HfAuF6 crystal at the PBE-GGA level of DFT.

extended XYZ file:
```
10
Lattice="-0.602 -3.132 6.091 6.344 2.048 1.680 1.049 3.533 5.801" Properties=species:S:1:pos:R:3 pbc="T T T"
Hf 2.871 -0.542 3.885
Au 0.000 0.000 0.000
Rb 1.659 -0.070 7.888
Rb 5.132 2.519 5.683
F 2.119 1.140 4.676
F 4.672 1.309 8.896
F 1.687 -0.318 2.283
F 4.055 -0.766 5.488
F 1.439 -1.610 4.795
F 4.304 0.526 2.976
```

Values from the calculation:
Fermi-level density of states ... 0.015 states/eV per atom
Spin magnetization ... 0.0999 μB per atom
Uncorrected formation energy ... -2763 meV per atom
Theoretical density ... 4776 kg/m3


# 10
Computed, not measured: a relaxed HfRuAu2F crystal at the PBE-GGA level of DFT.

extended XYZ file:
```
5
Lattice="-4.234 2.538 0.801 -1.873 -3.820 2.204 1.807 1.634 4.368" Properties=species:S:1:pos:R:3 pbc="T T T"
Hf -0.937 -1.910 1.102
F -2.150 0.176 3.687
Au 0.903 0.817 2.184
Au -2.117 1.269 0.401
Ru 0.000 0.000 0.000
```

Values from the calculation:
Fermi-level density of states ... 0.723 states/eV per atom
Spin magnetization ... 0.0699 μB per atom
Uncorrected formation energy ... 431 meV per atom
Theoretical density ... 9595 kg/m3


# 11
Computed, not measured: a relaxed Hf2ScAuF crystal at the PBE-GGA level of DFT.

extended XYZ file:
```
5
Lattice="-4.077 2.046 -2.734 -2.283 0.358 3.673 1.957 4.889 0.740" Properties=species:S:1:pos:R:3 pbc="T T T"
Sc -2.202 3.647 0.840
Hf 0.979 2.445 0.370
Hf -2.039 1.023 -1.367
Au 0.000 0.000 0.000
F -1.142 0.179 1.837
```

Values from the calculation:
Fermi-level density of states ... 1.594 states/eV per atom
Spin magnetization ... 0.4732 μB per atom
Uncorrected formation energy ... 535 meV per atom
Theoretical density ... 8358 kg/m3


# 12
Computed, not measured: a relaxed HfAuSe2F crystal at the PBE-GGA level of DFT.

extended XYZ file:
```
5
Lattice="4.846 0.000 0.000 0.000 4.160 0.000 0.000 0.000 4.846" Properties=species:S:1:pos:R:3 pbc="T T T"
Hf 2.423 2.080 2.423
Au 0.000 2.080 0.000
Se 0.000 0.000 2.423
Se 2.423 0.000 0.000
F 0.000 0.000 0.000
```

Values from the calculation:
Fermi-level density of states ... 0.561 states/eV per atom
Spin magnetization ... 0.0000 μB per atom
Uncorrected formation energy ... 116 meV per atom
Theoretical density ... 9387 kg/m3


The lowest theoretical density belongs to which entry? Rb2HfAuF6


Number 1 is which compound? HfAuF2